! MoPd3O, optimized geometry, DFT PBE with a Hubbard U; values from VASP
! **E above lowest polymorph**: 1587 meV/atom
&SYSTEM
  ibrav = 0, nat = 5, ntyp = 3
/
ATOMIC_SPECIES
O 16.00 O.upf
Pd 106.42 Pd.upf
Mo 95.94 Mo.upf
CELL_PARAMETERS angstrom
-3.224 -3.357 1.179
2.618 -3.316 -2.282
2.410 -0.889 4.057
ATOMIC_POSITIONS crystal
O 0.500 0.500 0.500
Pd 0.000 0.500 0.000
Pd 0.500 0.000 0.000
Pd 0.000 0.000 0.500
Mo 0.000 0.000 0.000